Entry from Alexandria: a geometry-optimized TcSbOs structure (PBE-GGA).

The structure belongs to space group P3m1 (No. 156); the cell edges are 2.9794, 2.9794 and 6.5404 Å and the angles 90.00°, 90.00° and 120.00°. The asymmetric unit holds Tc at (0.0000, 0.0000, 0.0000), Sb at (0.6667, 0.3333, 0.6545) and Os at (0.3333, 0.6667, 0.3074).

The calculation puts the uncorrected formation energy at 127 kJ/mol of formula units. Its total magnetization is 0.00 μB per cell. Its density of states at the Fermi level is 2.34 states/eV per cell. The density comes out at 13540 kg/m3. The value obtained for the total energy is -8.13 eV/atom.